The following is a PBE calculation of a relaxed structure of NaThHgGe, from Alexandria via LeMat-Bulk.

Cell and atoms, written as extended XYZ:
```
4
Lattice="0.000 3.674 3.674 3.674 0.000 3.674 3.674 3.674 0.000" Properties=species:S:1:pos:R:3 pbc="T T T"
Na 0.000 0.000 0.000
Th 3.674 3.674 3.674
Hg 1.837 1.837 1.837
Ge 5.511 5.511 5.511
```

Output
Formation energy from the elements ... -0.250 eV/atom